The following is a DFT calculation (SCAN) of a PBEsol-optimized structure of Re2Pt.

a b c (Å): 5.099 5.099 5.099
angles (deg): 60.00 60.00 60.00
Element x y z (fractional)
Re 0.000 0.000 0.000
Re 0.000 0.000 0.500
Re 0.000 0.500 0.000
Re 0.500 0.000 0.000
Pt 0.375 0.375 0.375
Pt 0.625 0.625 0.625

Computed properties:
formation enthalpy at 0 K	0.50	eV/atom

---

The following is a DFT calculation (SCAN) of a PBEsol-optimized structure of LiPtCl2.

a b c (Å): 3.653 3.653 5.058
angles (deg): 90.00 90.00 90.00
Element x y z (fractional)
Li 0.000 0.000 0.000
Pt 0.500 0.500 0.500
Cl 0.000 0.000 0.500
Cl 0.500 0.500 0.000

Computed properties:
formation energy from raw total energies	-0.658	eV per atom